VASP calculation (GGA-PBEsol) on a geometry-optimized YScTl structure.

The total magnetization comes out at 0.00 μB per cell. For the total energy, the calculation gives -5.62 eV per atom. The space-group type is I4mm.

The structure in POSCAR format:
```
YScTl
1.0
3.421 0.000 0.000
0.000 3.421 0.000
-1.711 -1.711 6.475
Tl Sc Y
1 1 1
Direct
0.660 0.660 0.319
0.011 0.011 0.023
0.329 0.329 0.658
```

***

VASP calculation (GGA-PBEsol) on a geometry-optimized Y2ScTl structure.

The total magnetization comes out at 0.00 μB per cell. The space-group type is R-3m. Its distance to the lowest polymorph of the same formula is 124 meV/atom.

The structure in POSCAR format:
```
Y2ScTl
1.0
-2.369 0.652 -2.428
0.502 -1.089 -3.240
-5.494 -9.254 0.418
Sc Y Tl
1 2 1
Direct
0.500 0.500 0.500
0.749 0.749 0.753
0.251 0.251 0.247
0.000 0.000 0.000
```

***

VASP calculation (GGA-PBEsol) on a geometry-optimized ScTl2Zn structure.

The total magnetization comes out at 0.00 μB per cell. The space-group type is P2/m. Its distance to the lowest polymorph of the same formula is 6 meV/atom.

The structure in POSCAR format:
```
ScTl2Zn
1.0
-0.391 2.796 1.655
-2.705 1.546 -3.251
-4.626 -2.877 2.481
Sc Tl Zn
1 2 1
Direct
0.000 0.500 0.500
0.650 0.000 0.753
0.350 0.000 0.247
0.500 0.500 0.000
```

***

VASP calculation (GGA-PBEsol) on a geometry-optimized ScTl2Zn structure.

The total magnetization comes out at 0.38 μB per cell. The space-group type is Cmmm. Its distance to the lowest polymorph of the same formula is 0 meV/atom.

The structure in POSCAR format:
```
ScTl2Zn
1.0
-0.624 -2.410 2.533
3.037 -1.497 -1.071
3.465 3.817 4.487
Tl Sc Zn
2 1 1
Direct
0.000 0.000 0.267
0.000 0.000 0.733
0.500 0.500 0.000
0.500 0.500 0.500
```

***

Question: Among the records above, which one has the highest total magnetization?
Answer: number 4